Entry from the Open Quantum Materials Database: a relaxed CsNdInSe3 crystal (PBE-GGA).

Cell lengths 11.6629, 5.0591, 13.1283 Å; angles 90.00, 90.00, 90.00 degrees
With the nearest neighbours (Å) after each atom.
Positions (direct):
Cs (0.1683, 0.2500, 0.0135)  8 Se 3.67-4.01, 3 In 3.80-3.99
Cs (0.3317, 0.7500, 0.5135)  8 Se 3.67-4.01, 3 In 3.80-3.99
Cs (0.6683, 0.2500, 0.4865)  8 Se 3.67-4.01, 3 In 3.80-3.99
Cs (0.8317, 0.7500, 0.9865)  8 Se 3.67-4.01, 3 In 3.80-3.99
Nd (0.0263, 0.2500, 0.3324)  7 Se 3.04-3.27
Nd (0.4737, 0.7500, 0.8324)  7 Se 3.04-3.27
Nd (0.5263, 0.2500, 0.1676)  7 Se 3.04-3.27
Nd (0.9737, 0.7500, 0.6676)  7 Se 3.04-3.27
In (0.2248, 0.2500, 0.7281)  4 Se 2.70-2.76
In (0.2752, 0.7500, 0.2281)  4 Se 2.70-2.76
In (0.7248, 0.2500, 0.7719)  4 Se 2.70-2.76
In (0.7752, 0.7500, 0.2719)  4 Se 2.70-2.76
Se (0.0454, 0.7500, 0.1919)  1 In 2.72
Se (0.0869, 0.2500, 0.5573)  1 In 2.76, 1 Nd 3.04
Se (0.2115, 0.7500, 0.7995)  2 In 2.70
Se (0.2885, 0.2500, 0.2995)  2 In 2.70
Se (0.4131, 0.7500, 0.0573)  1 In 2.76, 1 Nd 3.04
Se (0.4546, 0.2500, 0.6919)  1 In 2.72
Se (0.5454, 0.7500, 0.3081)  1 In 2.72
Se (0.5869, 0.2500, 0.9427)  1 In 2.76, 1 Nd 3.04
Se (0.7115, 0.7500, 0.7005)  2 In 2.70
Se (0.7885, 0.2500, 0.2005)  2 In 2.70
Se (0.9131, 0.7500, 0.4427)  1 In 2.76, 1 Nd 3.04
Se (0.9546, 0.2500, 0.8081)  1 In 2.72

Computed properties:
ΔE to the lowest computed polymorph in kJ per mole of atoms: 1.6
Symmetry: No. 62

Entry from the Open Quantum Materials Database: a relaxed NdHoAsO crystal (PBE-GGA).

Cell lengths 4.1645, 8.0358, 5.6830 Å; angles 90.00, 90.00, 90.00 degrees
With the nearest neighbours (Å) after each atom.
Positions (direct):
Nd (0.0000, 0.1229, 0.0000)  2 O 2.44-2.45
Nd (0.0000, 0.8771, 0.5000)  2 O 2.44-2.45
Ho (0.5000, 0.2885, 0.4630)  2 O 2.28
Ho (0.5000, 0.7115, 0.9630)  2 O 2.28
As (0.5000, 0.3593, 0.9594)  2 Nd 2.83, 3 Ho 2.83-2.92
As (0.5000, 0.6407, 0.4594)  2 Nd 2.83, 3 Ho 2.83-2.92
O (0.0000, 0.1765, 0.4248)  2 Ho 2.28, 2 Nd 2.44-2.45
O (0.0000, 0.8235, 0.9248)  2 Ho 2.28, 2 Nd 2.44-2.45

Computed properties:
ΔE to the lowest computed polymorph in kJ per mole of atoms: 6.0
Symmetry: No. 26

Entry from the Open Quantum Materials Database: a relaxed TbSnSb crystal (PBE-GGA).

Cell lengths 5.1688, 5.1688, 5.1688 Å; angles 60.00, 60.00, 60.00 degrees
With the nearest neighbours (Å) after each atom.
Positions (direct):
Tb (0.0000, 0.0000, 0.0000)  4 Sb 3.17
Sn (0.5000, 0.5000, 0.5000)  4 Sb 3.17
Sb (0.7500, 0.7500, 0.7500)  4 Tb 3.17, 4 Sn 3.17

Computed properties:
ΔE to the lowest computed polymorph in kJ per mole of atoms: 0.0
Symmetry: No. 216

Entry from the Open Quantum Materials Database: a relaxed LaSmPa crystal (PBE-GGA).

Cell lengths 5.3670, 5.3670, 5.3670 Å; angles 60.00, 60.00, 60.00 degrees
With the nearest neighbours (Å) after each atom.
Positions (direct):
La (0.0000, 0.0000, 0.0000)  4 Pa 3.29
Sm (0.5000, 0.5000, 0.5000)  4 Pa 3.29
Pa (0.2500, 0.2500, 0.2500)  4 Sm 3.29, 4 La 3.29

Computed properties:
ΔE to the lowest computed polymorph in kJ per mole of atoms: 0.0
Symmetry: No. 216
E_form in kJ per mole of atoms: 100.9

Entry from the Open Quantum Materials Database: a relaxed Sn4W3 crystal (PBE-GGA).

Cell lengths 15.8266, 15.8266, 15.8266 Å; angles 11.49, 11.49, 11.49 degrees
With the nearest neighbours (Å) after each atom.
Positions (direct):
Sn (0.1390, 0.1390, 0.1390)  3 W 2.83, 6 Sn 3.17
Sn (0.2861, 0.2861, 0.2861)  6 W 2.83-2.88, 6 Sn 3.17
Sn (0.7139, 0.7139, 0.7139)  6 W 2.83-2.88, 6 Sn 3.17
Sn (0.8610, 0.8610, 0.8610)  3 W 2.83, 6 Sn 3.17
W (0.0000, 0.0000, 0.0000)  6 Sn 2.88, 6 W 3.17
W (0.4265, 0.4265, 0.4265)  6 Sn 2.83, 6 W 3.17
W (0.5735, 0.5735, 0.5735)  6 Sn 2.83, 6 W 3.17

Computed properties:
Symmetry: No. 166

Entry from the Open Quantum Materials Database: a relaxed Ir3Os3W2 crystal (PBE-GGA).

Cell lengths 5.5424, 5.5424, 4.4181 Å; angles 90.00, 90.00, 120.00 degrees
With the nearest neighbours (Å) after each atom.
Positions (direct):
Ir (0.1672, 0.3343, 0.0000)  4 Os 2.72, 4 W 2.73-2.77, 4 Ir 2.76-2.78
Ir (0.1672, 0.8328, 0.0000)  4 Os 2.72, 4 W 2.73-2.77, 4 Ir 2.76-2.78
Ir (0.6657, 0.8328, 0.0000)  4 Os 2.72, 4 W 2.73-2.77, 4 Ir 2.76-2.78
Os (0.0023, 0.5012, 0.5000)  4 Ir 2.72, 4 W 2.73-2.77, 4 Os 2.75-2.79
Os (0.4988, 0.5012, 0.5000)  4 Ir 2.72, 4 W 2.73-2.77, 4 Os 2.75-2.79
Os (0.4988, 0.9977, 0.5000)  4 Ir 2.72, 4 W 2.73-2.77, 4 Os 2.75-2.79
W (0.0000, 0.0000, 0.5000)  6 Ir 2.73, 6 Os 2.77
W (0.6667, 0.3333, 0.0000)  6 Os 2.73, 6 Ir 2.77

Computed properties:
ΔE to the lowest computed polymorph in kJ per mole of atoms: 2.0
Symmetry: No. 187
E_form in kJ per mole of atoms: -22.7

Per-record raw total energy, eV/atom: -4.3254 -6.6465 -4.4863 -5.3310 -7.1640 -11.0060